No. 1
PPbAu3: relaxed, PBE-GGA.

CIF file:
```
data_PPbAu3
_space_group_name_H-M_alt 'P m -3 m'
_space_group_IT_number 221
_space_group_name_Hall '-P 4 2 3'
_cell_length_a 4.8507
_cell_length_b 4.8507
_cell_length_c 4.8507
_cell_angle_alpha 90.00
_cell_angle_beta 90.00
_cell_angle_gamma 90.00
loop_
_atom_site_label
_atom_site_type_symbol
_atom_site_fract_x
_atom_site_fract_y
_atom_site_fract_z
_atom_site_occupancy
P1 P 0.0000 0.0000 0.0000 1
Pb1 Pb 0.5000 0.5000 0.5000 1
Au1 Au 0.0000 0.0000 0.5000 1
```

theoretical density = 12.06 g/cm³
energy = -18.21 eV/cell
M_tot = 0.00 μB per cell
energy of formation = 148 meV/atom
crystal system = cubic
energy above the lowest structure with this stoichiometry = 0 meV per atom


No. 2
P2PbAu: relaxed, PBE-GGA.

CIF file:
```
data_P2PbAu
_space_group_name_H-M_alt 'R 3 m'
_space_group_IT_number 160
_space_group_name_Hall 'R 3 -2"'
_cell_length_a 3.3681
_cell_length_b 3.3681
_cell_length_c 25.7097
_cell_angle_alpha 90.00
_cell_angle_beta 90.00
_cell_angle_gamma 120.00
loop_
_atom_site_label
_atom_site_type_symbol
_atom_site_fract_x
_atom_site_fract_y
_atom_site_fract_z
_atom_site_occupancy
P1 P 0.0000 0.0000 0.0000 1
P2 P 0.0000 0.0000 0.2848 1
Pb1 Pb 0.0000 0.0000 0.5034 1
Au1 Au 0.0000 0.0000 0.7450 1
```

theoretical density = 9.19 g/cm³
energy = -52.01 eV/cell
M_tot = 0.00 μB per cell
energy of formation = 117 meV/atom
crystal system = trigonal


No. 3
P2PbAu2: relaxed, PBE-GGA.

CIF file:
```
data_P2PbAu2
_space_group_name_H-M_alt 'I 4/m m m'
_space_group_IT_number 139
_space_group_name_Hall '-I 4 2'
_cell_length_a 4.5748
_cell_length_b 4.5748
_cell_length_c 9.7780
_cell_angle_alpha 90.00
_cell_angle_beta 90.00
_cell_angle_gamma 90.00
loop_
_atom_site_label
_atom_site_type_symbol
_atom_site_fract_x
_atom_site_fract_y
_atom_site_fract_z
_atom_site_occupancy
P1 P 0.0000 0.0000 0.1140 1
Pb1 Pb 0.0000 0.0000 0.5000 1
Au1 Au 0.0000 0.5000 0.2500 1
```

theoretical density = 10.76 g/cm³
energy = -40.62 eV/cell
M_tot = 0.00 μB per cell
energy of formation = 155 meV/atom
crystal system = tetragonal
energy above the lowest structure with this stoichiometry = 284 meV per atom


No. 4
P2PbAu: relaxed, PBE-GGA.

CIF file:
```
data_P2PbAu
_space_group_name_H-M_alt 'I -4 m 2'
_space_group_IT_number 119
_space_group_name_Hall 'I -4 -2'
_cell_length_a 4.1452
_cell_length_b 4.1452
_cell_length_c 9.4966
_cell_angle_alpha 90.00
_cell_angle_beta 90.00
_cell_angle_gamma 90.00
loop_
_atom_site_label
_atom_site_type_symbol
_atom_site_fract_x
_atom_site_fract_y
_atom_site_fract_z
_atom_site_occupancy
P1 P 0.0000 0.0000 0.0000 1
P2 P 0.0000 0.5000 0.2500 1
Pb1 Pb 0.0000 0.5000 0.7500 1
Au1 Au 0.0000 0.0000 0.5000 1
```

theoretical density = 9.49 g/cm³
energy = -30.88 eV/cell
M_tot = 0.00 μB per cell
energy of formation = 592 meV/atom
crystal system = tetragonal


No. 5
PPbAu: relaxed, PBE-GGA.

CIF file:
```
data_PPbAu
_space_group_name_H-M_alt 'I 4 m m'
_space_group_IT_number 107
_space_group_name_Hall 'I 4 -2'
_cell_length_a 4.0675
_cell_length_b 4.0675
_cell_length_c 8.3708
_cell_angle_alpha 90.00
_cell_angle_beta 90.00
_cell_angle_gamma 90.00
loop_
_atom_site_label
_atom_site_type_symbol
_atom_site_fract_x
_atom_site_fract_y
_atom_site_fract_z
_atom_site_occupancy
P1 P 0.0000 0.0000 0.0000 1
Pb1 Pb 0.0000 0.0000 0.3568 1
Au1 Au 0.0000 0.0000 0.7030 1
```

theoretical density = 10.43 g/cm³
energy = -22.79 eV/cell
M_tot = 0.00 μB per cell
energy of formation = 334 meV/atom
crystal system = tetragonal
energy above the lowest structure with this stoichiometry = 362 meV per atom


No. 6
PPbAu4: relaxed, PBE-GGA.

CIF file:
```
data_PPbAu4
_space_group_name_H-M_alt 'F -4 3 m'
_space_group_IT_number 216
_space_group_name_Hall 'F -4 2 3'
_cell_length_a 7.9345
_cell_length_b 7.9345
_cell_length_c 7.9345
_cell_angle_alpha 90.00
_cell_angle_beta 90.00
_cell_angle_gamma 90.00
loop_
_atom_site_label
_atom_site_type_symbol
_atom_site_fract_x
_atom_site_fract_y
_atom_site_fract_z
_atom_site_occupancy
P1 P 0.0000 0.0000 0.0000 1
Pb1 Pb 0.2500 0.2500 0.7500 1
Au1 Au 0.1253 0.1253 0.3747 1
```

theoretical density = 13.64 g/cm³
energy = -83.55 eV/cell
M_tot = 0.00 μB per cell
energy of formation = 223 meV/atom
crystal system = cubic


No. 7
P2Pb2Au: relaxed, PBE-GGA.

CIF file:
```
data_P2Pb2Au
_space_group_name_H-M_alt 'I 4/m m m'
_space_group_IT_number 139
_space_group_name_Hall '-I 4 2'
_cell_length_a 5.3933
_cell_length_b 5.3933
_cell_length_c 8.6208
_cell_angle_alpha 90.00
_cell_angle_beta 90.00
_cell_angle_gamma 90.00
loop_
_atom_site_label
_atom_site_type_symbol
_atom_site_fract_x
_atom_site_fract_y
_atom_site_fract_z
_atom_site_occupancy
P1 P 0.0000 0.0000 0.1231 1
Pb1 Pb 0.0000 0.5000 0.2500 1
Au1 Au 0.0000 0.0000 0.5000 1
```

theoretical density = 8.92 g/cm³
energy = -41.10 eV/cell
M_tot = 0.00 μB per cell
energy of formation = 193 meV/atom
crystal system = tetragonal
energy above the lowest structure with this stoichiometry = 50 meV per atom


No. 8
P2PbAu: relaxed, PBE-GGA.

CIF file:
```
data_P2PbAu
_space_group_name_H-M_alt 'C 1 2/m 1'
_space_group_IT_number 12
_space_group_name_Hall '-C 2y'
_cell_length_a 10.5575
_cell_length_b 3.3146
_cell_length_c 5.8057
_cell_angle_alpha 90.00
_cell_angle_beta 119.01
_cell_angle_gamma 90.00
loop_
_atom_site_label
_atom_site_type_symbol
_atom_site_fract_x
_atom_site_fract_y
_atom_site_fract_z
_atom_site_occupancy
P1 P 0.2125 0.0000 0.0997 1
Pb1 Pb 0.0000 0.0000 0.5000 1
Au1 Au 0.0000 0.5000 0.0000 1
```

theoretical density = 8.71 g/cm³
energy = -33.97 eV/cell
M_tot = 0.00 μB per cell
energy of formation = 205 meV/atom
crystal system = monoclinic


No. 9
P2PbAu: relaxed, PBE-GGA.

CIF file:
```
data_P2PbAu
_space_group_name_H-M_alt 'C 1 2/m 1'
_space_group_IT_number 12
_space_group_name_Hall '-C 2y'
_cell_length_a 5.6018
_cell_length_b 7.7121
_cell_length_c 4.7575
_cell_angle_alpha 90.00
_cell_angle_beta 125.82
_cell_angle_gamma 90.00
loop_
_atom_site_label
_atom_site_type_symbol
_atom_site_fract_x
_atom_site_fract_y
_atom_site_fract_z
_atom_site_occupancy
P1 P 0.2500 0.2500 0.0000 1
Pb1 Pb 0.0000 0.0000 0.5000 1
Au1 Au 0.0000 0.5000 0.5000 1
```

theoretical density = 9.29 g/cm³
energy = -32.86 eV/cell
M_tot = 0.00 μB per cell
energy of formation = 344 meV/atom
crystal system = monoclinic


No. 10
P2PbAu: relaxed, PBE-GGA.

CIF file:
```
data_P2PbAu
_space_group_name_H-M_alt 'I 4/m m m'
_space_group_IT_number 139
_space_group_name_Hall '-I 4 2'
_cell_length_a 4.0288
_cell_length_b 4.0288
_cell_length_c 10.2981
_cell_angle_alpha 90.00
_cell_angle_beta 90.00
_cell_angle_gamma 90.00
loop_
_atom_site_label
_atom_site_type_symbol
_atom_site_fract_x
_atom_site_fract_y
_atom_site_fract_z
_atom_site_occupancy
P1 P 0.0000 0.5000 0.2500 1
Pb1 Pb 0.0000 0.0000 0.0000 1
Au1 Au 0.0000 0.0000 0.5000 1
```

theoretical density = 9.26 g/cm³
energy = -30.77 eV/cell
M_tot = 0.00 μB per cell
energy of formation = 605 meV/atom
crystal system = tetragonal


No. 11
P2PbAu: relaxed, PBE-GGA.

CIF file:
```
data_P2PbAu
_space_group_name_H-M_alt 'P 1 2/m 1'
_space_group_IT_number 10
_space_group_name_Hall '-P 2y'
_cell_length_a 3.8817
_cell_length_b 3.9086
_cell_length_c 5.4584
_cell_angle_alpha 90.00
_cell_angle_beta 90.08
_cell_angle_gamma 90.00
loop_
_atom_site_label
_atom_site_type_symbol
_atom_site_fract_x
_atom_site_fract_y
_atom_site_fract_z
_atom_site_occupancy
P1 P 0.0000 0.0000 0.0000 1
P2 P 0.5000 0.5000 0.5000 1
Pb1 Pb 0.0000 0.0000 0.5000 1
Au1 Au 0.5000 0.5000 0.0000 1
```

theoretical density = 9.35 g/cm³
energy = -16.57 eV/cell
M_tot = 0.00 μB per cell
energy of formation = 310 meV/atom
crystal system = monoclinic


No. 12
PPb3Au: relaxed, PBE-GGA.

CIF file:
```
data_PPb3Au
_space_group_name_H-M_alt 'P m -3 m'
_space_group_IT_number 221
_space_group_name_Hall '-P 4 2 3'
_cell_length_a 5.4217
_cell_length_b 5.4217
_cell_length_c 5.4217
_cell_angle_alpha 90.00
_cell_angle_beta 90.00
_cell_angle_gamma 90.00
loop_
_atom_site_label
_atom_site_type_symbol
_atom_site_fract_x
_atom_site_fract_y
_atom_site_fract_z
_atom_site_occupancy
P1 P 0.0000 0.0000 0.0000 1
Pb1 Pb 0.0000 0.0000 0.5000 1
Au1 Au 0.5000 0.5000 0.5000 1
```

theoretical density = 8.85 g/cm³
energy = -17.32 eV/cell
M_tot = 0.00 μB per cell
energy of formation = 499 meV/atom
crystal system = cubic
energy above the lowest structure with this stoichiometry = 0 meV per atom


No. 13
PPbAu: relaxed, PBE-GGA.

CIF file:
```
data_PPbAu
_space_group_name_H-M_alt 'I 4 m m'
_space_group_IT_number 107
_space_group_name_Hall 'I 4 -2'
_cell_length_a 3.4897
_cell_length_b 3.4897
_cell_length_c 11.2527
_cell_angle_alpha 90.00
_cell_angle_beta 90.00
_cell_angle_gamma 90.00
loop_
_atom_site_label
_atom_site_type_symbol
_atom_site_fract_x
_atom_site_fract_y
_atom_site_fract_z
_atom_site_occupancy
P1 P 0.0000 0.0000 0.0000 1
Pb1 Pb 0.0000 0.0000 0.7220 1
Au1 Au 0.0000 0.0000 0.4348 1
```

theoretical density = 10.55 g/cm³
energy = -23.49 eV/cell
M_tot = 0.00 μB per cell
energy of formation = 217 meV/atom
crystal system = tetragonal
energy above the lowest structure with this stoichiometry = 245 meV per atom


No. 14
PPb2Au2: relaxed, PBE-GGA.

CIF file:
```
data_PPb2Au2
_space_group_name_H-M_alt 'I 4/m m m'
_space_group_IT_number 139
_space_group_name_Hall '-I 4 2'
_cell_length_a 3.8212
_cell_length_b 3.8212
_cell_length_c 16.9439
_cell_angle_alpha 90.00
_cell_angle_beta 90.00
_cell_angle_gamma 90.00
loop_
_atom_site_label
_atom_site_type_symbol
_atom_site_fract_x
_atom_site_fract_y
_atom_site_fract_z
_atom_site_occupancy
P1 P 0.0000 0.0000 0.0000 1
Pb1 Pb 0.0000 0.0000 0.4045 1
Au1 Au 0.0000 0.5000 0.2500 1
```

theoretical density = 11.27 g/cm³
energy = -37.39 eV/cell
M_tot = 0.00 μB per cell
energy of formation = 137 meV/atom
crystal system = tetragonal
energy above the lowest structure with this stoichiometry = 17 meV per atom


No. 15
PPb2Au: relaxed, PBE-GGA.

CIF file:
```
data_PPb2Au
_space_group_name_H-M_alt 'P 1 m 1'
_space_group_IT_number 6
_space_group_name_Hall 'P -2y'
_cell_length_a 4.2938
_cell_length_b 4.1388
_cell_length_c 5.9526
_cell_angle_alpha 90.00
_cell_angle_beta 111.01
_cell_angle_gamma 90.00
loop_
_atom_site_label
_atom_site_type_symbol
_atom_site_fract_x
_atom_site_fract_y
_atom_site_fract_z
_atom_site_occupancy
P1 P 0.0000 0.0000 0.0000 1
Pb1 Pb 0.4361 0.5000 0.8635 1
Pb2 Pb 0.7370 0.0000 0.4649 1
Au1 Au 0.1597 0.5000 0.3068 1
```

theoretical density = 10.80 g/cm³
energy = -15.97 eV/cell
M_tot = 0.00 μB per cell
energy of formation = 33 meV/atom
crystal system = monoclinic


No. 16
PPb2Au: relaxed, PBE-GGA.

CIF file:
```
data_PPb2Au
_space_group_name_H-M_alt 'P 4 m m'
_space_group_IT_number 99
_space_group_name_Hall 'P 4 -2'
_cell_length_a 3.6588
_cell_length_b 3.6588
_cell_length_c 7.4218
_cell_angle_alpha 90.00
_cell_angle_beta 90.00
_cell_angle_gamma 90.00
loop_
_atom_site_label
_atom_site_type_symbol
_atom_site_fract_x
_atom_site_fract_y
_atom_site_fract_z
_atom_site_occupancy
P1 P 0.0000 0.0000 0.0000 1
Pb1 Pb 0.0000 0.0000 0.6015 1
Pb2 Pb 0.5000 0.5000 0.2134 1
Au1 Au 0.5000 0.5000 0.8185 1
```

theoretical density = 10.74 g/cm³
energy = -15.45 eV/cell
M_tot = 0.00 μB per cell
energy of formation = 162 meV/atom
crystal system = tetragonal


No. 17
P2PbAu: relaxed, PBE-GGA.

CIF file:
```
data_P2PbAu
_space_group_name_H-M_alt 'I -4 2 d'
_space_group_IT_number 122
_space_group_name_Hall 'I -4 2bw'
_cell_length_a 5.8703
_cell_length_b 5.8703
_cell_length_c 11.9020
_cell_angle_alpha 90.00
_cell_angle_beta 90.00
_cell_angle_gamma 90.00
loop_
_atom_site_label
_atom_site_type_symbol
_atom_site_fract_x
_atom_site_fract_y
_atom_site_fract_z
_atom_site_occupancy
P1 P 0.2101 0.2500 0.1250 1
Pb1 Pb 0.0000 0.0000 0.5000 1
Au1 Au 0.0000 0.0000 0.0000 1
```

theoretical density = 7.55 g/cm³
energy = -68.41 eV/cell
M_tot = 0.00 μB per cell
energy of formation = 176 meV/atom
crystal system = tetragonal


No. 18
P2PbAu: relaxed, PBE-GGA.

CIF file:
```
data_P2PbAu
_space_group_name_H-M_alt 'P 1 m 1'
_space_group_IT_number 6
_space_group_name_Hall 'P -2y'
_cell_length_a 4.6039
_cell_length_b 3.3336
_cell_length_c 6.4296
_cell_angle_alpha 90.00
_cell_angle_beta 90.31
_cell_angle_gamma 90.00
loop_
_atom_site_label
_atom_site_type_symbol
_atom_site_fract_x
_atom_site_fract_y
_atom_site_fract_z
_atom_site_occupancy
P1 P 0.0000 0.0000 0.0000 1
P2 P 0.0011 0.5000 0.2299 1
Pb1 Pb 0.4988 0.0000 0.7492 1
Au1 Au 0.5024 0.5000 0.3429 1
```

theoretical density = 7.84 g/cm³
energy = -17.76 eV/cell
M_tot = 0.00 μB per cell
energy of formation = 11 meV/atom
crystal system = monoclinic


No. 19
PPb2Au: relaxed, PBE-GGA.

CIF file:
```
data_PPb2Au
_space_group_name_H-M_alt 'I -4 2 d'
_space_group_IT_number 122
_space_group_name_Hall 'I -4 2bw'
_cell_length_a 6.6424
_cell_length_b 6.6424
_cell_length_c 11.8844
_cell_angle_alpha 90.00
_cell_angle_beta 90.00
_cell_angle_gamma 90.00
loop_
_atom_site_label
_atom_site_type_symbol
_atom_site_fract_x
_atom_site_fract_y
_atom_site_fract_z
_atom_site_occupancy
P1 P 0.0000 0.0000 0.0000 1
Pb1 Pb 0.2400 0.2500 0.1250 1
Au1 Au 0.0000 0.0000 0.5000 1
```

theoretical density = 8.14 g/cm³
energy = -61.87 eV/cell
M_tot = 0.00 μB per cell
energy of formation = 159 meV/atom
crystal system = tetragonal


No. 20
P3Pt12Pb2Au: relaxed, PBE-GGA.

CIF file:
```
data_P3Pt12Pb2Au
_space_group_name_H-M_alt 'R -3 m'
_space_group_IT_number 166
_space_group_name_Hall '-R 3 2"'
_cell_length_a 8.2145
_cell_length_b 8.2145
_cell_length_c 17.7046
_cell_angle_alpha 90.00
_cell_angle_beta 90.00
_cell_angle_gamma 120.00
loop_
_atom_site_label
_atom_site_type_symbol
_atom_site_fract_x
_atom_site_fract_y
_atom_site_fract_z
_atom_site_occupancy
P1 P 0.0000 0.5000 0.0000 1
Pt1 Pt 0.0206 0.5103 0.8715 1
Pt2 Pt 0.0244 0.5122 0.3674 1
Pb1 Pb 0.0000 0.0000 0.1086 1
Au1 Au 0.0000 0.0000 0.5000 1
```

theoretical density = 14.66 g/cm³
energy = -304.49 eV/cell
M_tot = 0.00 μB per cell
energy of formation = -116 meV/atom
crystal system = trigonal